Entry 1:
The following is a DFT calculation (PBE-GGA) of crystalline Si23Se at its relaxed geometry.

Output
SG = Pm-3n
Total DFT energy (no corrections) = -251.0 eV/cell

Cell lengths 10.224, 10.224, 10.224 Å; angles 90.00, 90.00, 90.00 degrees
Site moments in Bohr magnetons follow the coordinates.
Fractional positions:
1 Si 0.317 0.317 0.317  0.00
2 Si 0.500 0.383 0.191  0.00
3 Si 0.691 0.883 0.000  0.00
4 Si 0.500 0.617 0.809  0.00
5 Si 0.309 0.117 0.000  0.00
6 Si 0.683 0.317 0.683  0.00
7 Si 0.000 0.500 0.750  0.00
8 Si 0.500 0.617 0.191  0.00
9 Si 0.250 0.000 0.500  0.00
10 Si 0.000 0.500 0.250  0.00
11 Si 0.809 0.500 0.383  0.00
12 Si 0.317 0.683 0.683  0.00
13 Si 0.817 0.183 0.183  0.00
14 Si 0.183 0.183 0.183  0.00
15 Si 0.191 0.500 0.383  0.00
16 Si 0.500 0.383 0.809  0.00
17 Si 0.117 0.000 0.309  0.00
18 Si 0.500 0.750 0.000  0.00
19 Si 0.183 0.183 0.817  0.00
20 Si 0.691 0.117 0.000  0.00
21 Si 0.683 0.317 0.317  0.00
22 Si 0.683 0.683 0.317  0.00
23 Si 0.883 0.000 0.309  0.00
24 Si 0.000 0.309 0.117  0.00
25 Si 0.809 0.500 0.617  0.00
26 Si 0.817 0.817 0.817  0.00
27 Si 0.183 0.817 0.817  0.00
28 Si 0.117 0.000 0.691  0.00
29 Si 0.317 0.317 0.683  0.00
30 Si 0.317 0.683 0.317  0.00
31 Si 0.191 0.500 0.617  0.00
32 Si 0.817 0.183 0.817  0.00
33 Si 0.383 0.191 0.500  0.00
34 Si 0.817 0.817 0.183  0.00
35 Si 0.000 0.691 0.883  0.00
36 Si 0.683 0.683 0.683  0.00
37 Si 0.883 0.000 0.691  0.00
38 Si 0.383 0.809 0.500  0.00
39 Si 0.000 0.691 0.117  0.00
40 Si 0.183 0.817 0.183  0.00
41 Si 0.309 0.883 0.000  0.00
42 Si 0.617 0.191 0.500  0.00
43 Si 0.617 0.809 0.500  0.00
44 Si 0.000 0.309 0.883  0.00
45 Si 0.500 0.250 0.000  0.00
46 Si 0.750 0.000 0.500  0.00
47 Se 0.000 0.000 0.000  0.06
48 Se 0.500 0.500 0.500  0.06

Entry 2:
The following is a DFT calculation (PBE-GGA) of crystalline TiSbI2N at its relaxed geometry.

Output
Offset from the most stable computed form = 0 meV per atom
SG = P4/mmm
Total DFT energy (no corrections) = -23.1 eV/cell

Cell lengths 5.835, 5.835, 3.754 Å; angles 90.00, 90.00, 90.00 degrees
Fractional positions:
1 I 0.500 0.000 0.000
2 I 0.000 0.500 0.000
3 N 0.000 0.000 0.500
4 Ti 0.000 0.000 0.000
5 Sb 0.500 0.500 0.500

Entry 3:
The following is a DFT calculation (PBE-GGA) of crystalline BaHW2 at its relaxed geometry.

Output
Offset from the most stable computed form = 0 meV per atom
SG = I4_1/amd
Total DFT energy (no corrections) = -55.3 eV/cell

Cell lengths 5.967, 5.967, 5.955 Å; angles 59.93, 59.93, 90.00 degrees
Fractional positions:
1 Ba 0.000 0.000 0.000
2 Ba 0.750 0.250 0.500
3 W 0.875 0.625 0.750
4 W 0.375 0.625 0.750
5 W 0.375 0.625 0.250
6 W 0.375 0.125 0.250
7 H 0.250 0.750 0.500
8 H 0.500 0.500 0.000

Mass density in Mg/m³, matching the order above: 2.253, 5.684, 11.233
Total magnetic moment in Bohr magnetons per cell, matching the order above: 0.42, 0.00, 0.00
DOS(E_F) in states/eV/f.u., matching the order above: 14.505, 4.270, 4.065